VASP calculation (PBE with a Hubbard U) on a relaxed NaCoIF2 crystal.

## Properties
- Volume: 24.817 Å³/atom
- Uncorrected energy: -2.866 eV per atom
- Density: 3.30 g cm⁻³

The structure in CIF format:
```
data_NaCoIF2
_chemical_formula_sum 'Na1 Co1 I1 F2'
_cell_length_a 5.2055
_cell_length_b 5.2055
_cell_length_c 4.5792
_cell_angle_alpha 90.00
_cell_angle_beta 90.00
_cell_angle_gamma 90.00
_space_group_name_H-M_alt 'P 4/m m m'
_space_group_IT_number 123
_space_group_name_Hall '-P 4 2'
loop_
_atom_site_label
_atom_site_type_symbol
_atom_site_fract_x
_atom_site_fract_y
_atom_site_fract_z
_atom_site_occupancy
Na1 Na 0.0000 0.0000 0.0000 1
Co1 Co 0.5000 0.5000 0.0000 1
I1 I 0.5000 0.5000 0.5000 1
F1 F 0.0000 0.5000 0.5000 1
```